This record from Alexandria via LeMat-Bulk describes a crystal of KHfAsPd2 relaxed with PBEsol. The functional is SCAN.

abc: 4.5616 4.5616 5.3768
angles: 90.00 90.00 90.00
Positions (direct):
K (0.0000, 0.0000, 0.0000)
As (0.0000, 0.0000, 0.5000)
Pd (0.0000, 0.5000, 0.0000)
Pd (0.5000, 0.0000, 0.0000)
Hf (0.5000, 0.5000, 0.5000)

Summary:
E_form in eV per atom: 1.45
Spin magnetization in μB per formula unit: 0.00
Calculated volume in Å³ per cell: 111.9
VASP energy in eV per cell: -149.50